MnH2NO: relaxed, PBE with a Hubbard U.

Calculated values
As for the space group: P1, No. 1. The crystal system is triclinic.

Unit cell a=2.9681 b=3.3745 c=4.7681 alpha=89.78 beta=89.32 gamma=63.84
Fractional positions:
Mn 0.3685 0.9118 0.2829
H 0.8270 0.0054 0.8370
H 0.0911 0.4868 0.8936
N 0.9404 0.7794 0.0016
O 0.7021 0.2370 0.4614

MnH2NO: relaxed, PBE with a Hubbard U.

Calculated values
As for the space group: P1, No. 1. The value obtained for the density of states at the Fermi level is 0.72 states/eV/f.u. The crystal system is triclinic.

Unit cell a=3.0174 b=3.3673 c=5.4509 alpha=94.88 beta=90.37 gamma=116.64
Fractional positions:
Mn 0.1057 0.9006 0.4588
H 0.7387 0.1727 0.1134
H 0.4598 0.5991 0.8148
N 0.7620 0.2170 0.3035
O 0.5843 0.8512 0.7153

MnH2NO: relaxed, PBE with a Hubbard U.

Calculated values
As for the space group: Pm, No. 6. The value obtained for the density of states at the Fermi level is 0.95 states/eV/f.u. The crystal system is monoclinic.

Unit cell a=3.5485 b=3.8291 c=3.6423 alpha=90.00 beta=94.51 gamma=90.00
Fractional positions:
Mn 0.2405 0.5000 0.0402
H 0.7128 0.5000 0.0149
H 0.4930 0.0000 0.3767
N 0.3345 0.0000 0.1257
O 0.1484 0.5000 0.5456

MnPH6NO5: relaxed, PBE with a Hubbard U.

Calculated values
As for the space group: Pnma, No. 62. The value obtained for the density of states at the Fermi level is 0.00 states/eV/f.u. The crystal system is orthorhombic.

Unit cell a=18.0624 b=5.7814 c=4.9007 alpha=90.00 beta=90.00 gamma=90.00
Fractional positions:
Mn 0.2627 0.7500 0.3598
Mn 0.7627 0.7500 0.1402
Mn 0.7373 0.2500 0.6402
Mn 0.2373 0.2500 0.8598
P 0.1506 0.7500 0.7911
P 0.6506 0.7500 0.7089
P 0.8494 0.2500 0.2089
P 0.3494 0.2500 0.2911
H 0.0224 0.7500 0.0696
H 0.5224 0.7500 0.4304
H 0.9776 0.2500 0.9304
H 0.4776 0.2500 0.5696
H 0.0244 0.7500 0.4256
H 0.5244 0.7500 0.0744
H 0.9756 0.2500 0.5744
H 0.4756 0.2500 0.9256
H 0.3461 0.8852 0.8099
H 0.8461 0.6148 0.6901
H 0.6539 0.3852 0.1901
H 0.1539 0.1148 0.3099
H 0.6539 0.1148 0.1901
H 0.1539 0.3852 0.3099
H 0.3461 0.6148 0.8099
H 0.8461 0.8852 0.6901
H 0.9579 0.6025 0.2512
H 0.4579 0.8975 0.2488
H 0.0421 0.1025 0.7488
H 0.5421 0.3975 0.7512
H 0.0421 0.3975 0.7488
H 0.5421 0.1025 0.7512
H 0.9579 0.8975 0.2512
H 0.4579 0.6025 0.2488
N 0.9905 0.7500 0.2501
N 0.4905 0.7500 0.2499
N 0.0095 0.2500 0.7499
N 0.5095 0.2500 0.7501
O 0.1685 0.7500 0.0963
O 0.6685 0.7500 0.4037
O 0.8315 0.2500 0.9037
O 0.3315 0.2500 0.5963
O 0.1861 0.9657 0.6444
O 0.6861 0.5343 0.8556
O 0.8139 0.4657 0.3556
O 0.3139 0.0343 0.1444
O 0.8139 0.0343 0.3556
O 0.3139 0.4657 0.1444
O 0.1861 0.5343 0.6444
O 0.6861 0.9657 0.8556
O 0.3522 0.7500 0.6883
O 0.8522 0.7500 0.8117
O 0.6478 0.2500 0.3117
O 0.1478 0.2500 0.1883
O 0.0652 0.7500 0.7485
O 0.5652 0.7500 0.7515
O 0.9348 0.2500 0.2515
O 0.4348 0.2500 0.2485

MnP3H12NO7: relaxed, PBE with a Hubbard U.

Calculated values
As for the space group: P2_1/c, No. 14. The value obtained for the density of states at the Fermi level is 0.00 states/eV/f.u. The crystal system is monoclinic.

Unit cell a=15.5244 b=7.5861 c=9.9948 alpha=62.63 beta=90.00 gamma=90.00
Fractional positions:
Mn 0.6701 0.9896 0.4096
Mn 0.8299 0.9896 0.9096
Mn 0.1701 0.0104 0.0904
Mn 0.3299 0.0104 0.5904
P 0.6511 0.1029 0.0446
P 0.3489 0.8971 0.9554
P 0.8288 0.7526 0.3164
P 0.3288 0.2474 0.1836
P 0.5685 0.4259 0.2732
P 0.1712 0.2474 0.6836
P 0.1511 0.8971 0.4554
P 0.8489 0.1029 0.5446
P 0.4315 0.5741 0.7268
P 0.0685 0.5741 0.2268
P 0.6712 0.7526 0.8164
P 0.9315 0.4259 0.7732
H 0.9991 0.1630 0.0454
H 0.5412 0.7579 0.3479
H 0.4292 0.8079 0.0191
H 0.8544 0.3213 0.0560
H 0.0708 0.8079 0.5191
H 0.3671 0.4381 0.1038
H 0.5009 0.1630 0.5454
H 0.6329 0.5619 0.8962
H 0.6130 0.8789 0.8420
H 0.0946 0.5610 0.8595
H 0.6908 0.5279 0.5477
H 0.0262 0.6295 0.3278
H 0.1331 0.1034 0.3869
H 0.6462 0.5149 0.1979
H 0.4588 0.2421 0.6521
H 0.9588 0.7579 0.8479
H 0.4054 0.5610 0.3595
H 0.5708 0.1921 0.9809
H 0.8092 0.5279 0.0477
H 0.3132 0.6863 0.2835
H 0.1456 0.6787 0.9440
H 0.8669 0.8966 0.6131
H 0.9054 0.4390 0.1405
H 0.9738 0.3705 0.6722
H 0.6331 0.8966 0.1131
H 0.6456 0.3213 0.5560
H 0.0009 0.8370 0.9546
H 0.8870 0.8789 0.3420
H 0.3538 0.4851 0.8021
H 0.4991 0.8370 0.4546
H 0.8132 0.3137 0.2165
H 0.1462 0.4851 0.3021
H 0.1908 0.4721 0.9523
H 0.6868 0.3137 0.7165
H 0.5946 0.4390 0.6405
H 0.8671 0.5619 0.3962
H 0.5262 0.3705 0.1722
H 0.9292 0.1921 0.4809
H 0.1329 0.4381 0.6038
H 0.8538 0.5149 0.6979
H 0.3870 0.1211 0.1580
H 0.0412 0.2421 0.1521
H 0.1868 0.6863 0.7835
H 0.1130 0.1211 0.6580
H 0.3092 0.4721 0.4523
H 0.3669 0.1034 0.8869
H 0.4738 0.6295 0.8278
H 0.3544 0.6787 0.4440
N 0.8448 0.4015 0.1153
N 0.3448 0.5985 0.3847
N 0.6552 0.4015 0.6153
N 0.1552 0.5985 0.8847
O 0.4536 0.1374 0.6186
O 0.5464 0.8626 0.3814
O 0.4855 0.4205 0.7072
O 0.5145 0.5795 0.2928
O 0.0145 0.4205 0.2072
O 0.7435 0.7468 0.3945
O 0.2866 0.8475 0.0866
O 0.4090 0.7641 0.5823
O 0.9536 0.8626 0.8814
O 0.2134 0.8475 0.5866
O 0.3288 0.1916 0.3499
O 0.5910 0.2359 0.4177
O 0.0910 0.7641 0.0823
O 0.1770 0.8363 0.3357
O 0.3230 0.8363 0.8357
O 0.0464 0.1374 0.1186
O 0.9855 0.5795 0.7928
O 0.6770 0.1637 0.1643
O 0.7866 0.1525 0.4134
O 0.7565 0.7468 0.8945
O 0.8230 0.1637 0.6643
O 0.1712 0.1916 0.8499
O 0.8288 0.8084 0.1501
O 0.2435 0.2532 0.1055
O 0.6712 0.8084 0.6501
O 0.7134 0.1525 0.9134
O 0.2565 0.2532 0.6055
O 0.9090 0.2359 0.9177

MnPH6NO5: relaxed, PBE with a Hubbard U.

Calculated values
As for the space group: Pmn2_1, No. 31. The value obtained for the density of states at the Fermi level is 0.00 states/eV/f.u. The crystal system is orthorhombic.

Unit cell a=4.9001 b=5.7816 c=9.0356 alpha=90.00 beta=90.00 gamma=90.00
Fractional positions:
Mn 0.5296 0.0000 0.5256
Mn 0.0296 0.5000 0.4744
P 0.0982 0.0000 0.3013
P 0.5982 0.5000 0.6987
H 0.8170 0.0000 0.0455
H 0.3170 0.5000 0.9545
H 0.4610 0.0000 0.0481
H 0.9610 0.5000 0.9519
H 0.6351 0.1475 0.9158
H 0.6351 0.8525 0.9158
H 0.1351 0.3525 0.0842
H 0.1351 0.6475 0.0842
H 0.0791 0.1352 0.6920
H 0.0791 0.8648 0.6920
H 0.5791 0.3648 0.3080
H 0.5791 0.6352 0.3080
N 0.6376 0.0000 0.9808
N 0.1376 0.5000 0.0192
O 0.7931 0.0000 0.3375
O 0.2931 0.5000 0.6625
O 0.1396 0.0000 0.1304
O 0.6396 0.5000 0.8696
O 0.2009 0.0000 0.7041
O 0.7009 0.5000 0.2959
O 0.2452 0.2157 0.3721
O 0.2452 0.7843 0.3721
O 0.7452 0.2843 0.6279
O 0.7452 0.7157 0.6279

DFT total energy values, unit eV per atom, following the record order: -6.146, -6.098, -5.410, -6.052, -5.483, -6.052.